ErTaFeCo GGA-PBE relaxed; mass density = 12.07 g cm⁻³; formation energy = -0.03 eV/f.u.
1.0
-2.540 -0.731 3.620
-0.392 -4.144 1.663
1.922 -1.035 3.915
Fe Ta Er Co
1 1 1 1
Direct
0.250 0.250 0.250
0.000 0.000 0.000
0.500 0.500 0.500
0.750 0.750 0.750